{"formula": "LaCoF2", "functional": "PBE+U", "state": "relaxed", "polymorph_energy_mev_per_atom": 149, "m_tot_mub_per_fu": 2.00, "spacegroup": "Fm-3m (225)", "lattice": [[-0.1374, -4.4229, 0.7852], [0.3503, -1.5477, 4.2046], [-3.5754, -1.8113, 2.0330]], "species": ["F", "F", "Co", "La"], "frac_coords": [[0.2500, 0.2500, 0.2500], [0.7500, 0.7500, 0.7500], [0.0000, 0.0000, 0.0000], [0.5000, 0.5000, 0.5000]]}